## PaNi2SnO6 (PBE with a Hubbard U)

Data for crystalline PaNi2SnO6 at its relaxed geometry.

Values from the calculation:
The space group is P4mm (99). The value obtained for the electronic total energy is -6.506 eV/atom.

Structure (CIF):
```
data_PaNi2SnO6
_chemical_formula_sum 'Pa1 Ni2 Sn1 O6'
_cell_length_a 6.083
_cell_length_b 6.083
_cell_length_c 4.128
_cell_angle_alpha 90.00
_cell_angle_beta 90.00
_cell_angle_gamma 90.00
_symmetry_space_group_name_H-M 'P 1'
_symmetry_Int_Tables_number 1
loop_
_symmetry_equiv_pos_as_xyz
'x,y,z'
loop_
_atom_site_label
_atom_site_type_symbol
_atom_site_fract_x
_atom_site_fract_y
_atom_site_fract_z
Pa1 Pa 0.000 0.000 0.000
Ni1 Ni 0.000 0.500 0.090
Ni2 Ni 0.500 0.000 0.090
Sn1 Sn 0.500 0.500 0.009
O1 O 0.000 0.000 0.504
O2 O 0.255 0.255 0.034
O3 O 0.255 0.745 0.034
O4 O 0.500 0.500 0.516
O5 O 0.745 0.255 0.034
O6 O 0.745 0.745 0.034
```